# 1
{
  "formula": "CoSnIrPd",
  "functional": "PBE-GGA",
  "state": "optimized geometry",
  "spacegroup": "F-43m, No. 216",
  "lattice": [[0.0000, 3.1392, 3.1392], [3.1392, 0.0000, 3.1392], [3.1392, 3.1392, 0.0000]],
  "species": ["Co", "Sn", "Ir", "Pd"],
  "frac_coords": [[0.0000, 0.0000, 0.0000], [0.7500, 0.7500, 0.7500], [0.5000, 0.5000, 0.5000], [0.2500, 0.2500, 0.2500]]
}



# 2
{
  "formula": "TlCoIrPd",
  "functional": "PBE-GGA",
  "state": "optimized geometry",
  "spacegroup": "F-43m, No. 216",
  "lattice": [[0.0000, 3.1690, 3.1690], [3.1690, 0.0000, 3.1690], [3.1690, 3.1690, 0.0000]],
  "species": ["Tl", "Co", "Ir", "Pd"],
  "frac_coords": [[0.0000, 0.0000, 0.0000], [0.2500, 0.2500, 0.2500], [0.5000, 0.5000, 0.5000], [0.7500, 0.7500, 0.7500]]
}



# 3
{
  "formula": "ZnCoIrPd",
  "functional": "PBE-GGA",
  "state": "optimized geometry",
  "spacegroup": "F-43m, No. 216",
  "formation_energy_ev_per_atom": 0.10,
  "lattice": [[0.0000, 3.0354, 3.0354], [3.0354, 0.0000, 3.0354], [3.0354, 3.0354, 0.0000]],
  "species": ["Zn", "Co", "Ir", "Pd"],
  "frac_coords": [[0.0000, 0.0000, 0.0000], [0.2500, 0.2500, 0.2500], [0.5000, 0.5000, 0.5000], [0.7500, 0.7500, 0.7500]]
}



# 4
{
  "formula": "PmCoIr",
  "functional": "PBE-GGA",
  "state": "optimized geometry",
  "spacegroup": "F-43m, No. 216",
  "formation_energy_ev_per_atom": 0.77,
  "lattice": [[0.0000, 3.1599, 3.1599], [3.1599, 0.0000, 3.1599], [3.1599, 3.1599, 0.0000]],
  "species": ["Pm", "Co", "Ir"],
  "frac_coords": [[0.0000, 0.0000, 0.0000], [0.7500, 0.7500, 0.7500], [0.2500, 0.2500, 0.2500]]
}



| no. | E (eV/cell) |
| --- | --- |
| 1 | -25.02 |
| 2 | -21.89 |
| 3 | -21.99 |
| 4 | -18.40 |